[1]
DFT (PBE) results for a relaxed structure of Cs3OsPb.

Properties
* space group: Pm-3m, No. 221
* formation energy: 1.20 eV/atom
* total magnetic moment: 2.7 μB per cell
* energy: -11.49 eV per cell

Unit cell a=6.1511 b=6.1511 c=6.1511 alpha=90.00 beta=90.00 gamma=90.00
With the nearest neighbours (Å) after each atom.
Fractional positions:
Cs (0.0000, 0.0000, 0.5000)  2 Os 3.08
Cs (0.0000, 0.5000, 0.0000)  2 Os 3.08
Cs (0.5000, 0.0000, 0.0000)  2 Os 3.08
Os (0.0000, 0.0000, 0.0000)  6 Cs 3.08
Pb (0.5000, 0.5000, 0.5000)  12 Cs 4.35

[2]
DFT (PBE) results for a relaxed structure of UPdS2.

Properties
* space group: R3m, No. 160
* total magnetic moment: 2.0 μB per cell
* energy: -28.12 eV per cell

Unit cell a=6.5672 b=6.5672 c=6.5672 alpha=34.07 beta=34.07 gamma=34.07
With the nearest neighbours (Å) after each atom.
Fractional positions:
U (0.0000, 0.0000, 0.0000)  6 S 2.73-2.75
Pd (0.1968, 0.1968, 0.1968)  3 S 2.41
S (0.5807, 0.5807, 0.5807)  3 Pd 2.41
S (0.7541, 0.7541, 0.7541)  3 U 2.75, 3 Pd 3.01

[3]
DFT (PBE) results for a relaxed structure of Dy3HfFe8.

Properties
* space group: R3m, No. 160
* formation energy: -0.13 eV/atom
* total magnetic moment: 13.1 μB per cell
* energy: -93.07 eV per cell

Unit cell a=8.8047 b=8.8047 c=8.8047 alpha=33.53 beta=33.53 gamma=33.53
With the nearest neighbours (Å) after each atom.
Fractional positions:
Dy (0.0000, 0.0000, 0.0000)  12 Fe 2.98-3.03, 4 Dy 3.11-3.12
Dy (0.1252, 0.1252, 0.1252)  12 Fe 2.93-2.98, 3 Hf 3.11, 1 Dy 3.12
Dy (0.6247, 0.6247, 0.6247)  12 Fe 2.98-3.04, 1 Hf 3.10, 3 Dy 3.11
Hf (0.5003, 0.5003, 0.5003)  12 Fe 2.93-2.98, 4 Dy 3.10-3.11
Fe (0.0614, 0.0614, 0.5588)  6 Fe 2.49-2.58
Fe (0.0614, 0.5588, 0.0614)  6 Fe 2.49-2.58
Fe (0.0684, 0.5630, 0.5630)  6 Fe 2.51-2.58
Fe (0.3124, 0.3124, 0.3124)  6 Fe 2.58
Fe (0.5588, 0.0614, 0.0614)  6 Fe 2.49-2.58
Fe (0.5630, 0.0684, 0.5630)  6 Fe 2.51-2.58
Fe (0.5630, 0.5630, 0.0684)  6 Fe 2.51-2.58
Fe (0.8130, 0.8130, 0.8130)  6 Fe 2.49-2.51

[4]
DFT (PBE) results for a relaxed structure of BaMo2As.

Properties
* space group: R-3m, No. 166
* formation energy: 0.83 eV/atom
* total magnetic moment: 0.0 μB per cell
* energy: -24.93 eV per cell

Unit cell a=9.7285 b=9.7285 c=9.7285 alpha=18.88 beta=18.88 gamma=18.88
With the nearest neighbours (Å) after each atom.
Fractional positions:
Ba (0.0000, 0.0000, 0.0000)  6 Ba 3.19, 6 Mo 3.49
Mo (0.2298, 0.2298, 0.2298)  3 As 2.58
Mo (0.7702, 0.7702, 0.7702)  3 As 2.58
As (0.5000, 0.5000, 0.5000)  6 Mo 2.58

[5]
DFT (PBE) results for a relaxed structure of Er2BPt6.

Properties
* space group: P4/mmm, No. 123
* formation energy: -0.97 eV/atom
* total magnetic moment: 0.0 μB per cell
* energy: -60.79 eV per cell

Unit cell a=4.3053 b=4.3053 c=8.0538 alpha=90.00 beta=90.00 gamma=90.00
With the nearest neighbours (Å) after each atom.
Fractional positions:
Er (0.0000, 0.0000, 0.2415)  12 Pt 2.90-3.04
Er (0.0000, 0.0000, 0.7585)  12 Pt 2.90-3.04
B (0.5000, 0.5000, 0.5000)  6 Pt 2.11-2.15
Pt (0.0000, 0.5000, 0.0000)  8 Pt 2.88-3.04, 4 Er 2.90
Pt (0.0000, 0.5000, 0.5000)  2 B 2.15
Pt (0.5000, 0.0000, 0.0000)  8 Pt 2.88-3.04, 4 Er 2.90
Pt (0.5000, 0.0000, 0.5000)  2 B 2.15
Pt (0.5000, 0.5000, 0.2374)  1 B 2.11
Pt (0.5000, 0.5000, 0.7626)  1 B 2.11

[6]
DFT (PBE) results for a relaxed structure of KNa6Tl4.

Properties
* space group: P-6m2, No. 187
* formation energy: -0.06 eV/atom
* total magnetic moment: 0.0 μB per cell
* energy: -19.14 eV per cell

Unit cell a=9.0643 b=9.0643 c=5.2648 alpha=90.00 beta=90.00 gamma=120.00
With the nearest neighbours (Å) after each atom.
Fractional positions:
K (0.0000, 0.0000, 0.0000)  12 Na 4.10-4.56, 6 Tl 4.23
Na (0.2006, 0.4012, 0.5000)  4 Tl 3.23-3.36, 2 Na 3.61
Na (0.2006, 0.7994, 0.5000)  4 Tl 3.23-3.36, 2 Na 3.61
Na (0.5347, 0.0695, 0.0000)  5 Tl 3.16-3.31
Na (0.5347, 0.4653, 0.0000)  5 Tl 3.16-3.31
Na (0.5988, 0.7994, 0.5000)  4 Tl 3.23-3.36, 2 Na 3.61
Na (0.9305, 0.4653, 0.0000)  5 Tl 3.16-3.31
Tl (0.3333, 0.6667, 0.0000)  9 Na 3.16-3.36
Tl (0.4211, 0.2106, 0.5000)  6 Na 3.23-3.31, 2 Tl 3.34
Tl (0.7894, 0.2106, 0.5000)  6 Na 3.23-3.31, 2 Tl 3.34
Tl (0.7894, 0.5789, 0.5000)  6 Na 3.23-3.31, 2 Tl 3.34

[7]
DFT (PBE) results for a relaxed structure of YHo4P5.

Properties
* space group: I4/m, No. 87
* formation energy: -1.62 eV/atom
* total magnetic moment: 0.0 μB per cell
* energy: -68.01 eV per cell

Unit cell a=6.9165 b=6.9165 c=6.9165 alpha=99.59 beta=99.59 gamma=131.81
With the nearest neighbours (Å) after each atom.
Fractional positions:
Y (0.0000, 0.0000, 0.0000)  6 P 2.82-2.83
Ho (0.2000, 0.3998, 0.5997)  6 P 2.82
Ho (0.3998, 0.8000, 0.1998)  6 P 2.82
Ho (0.6002, 0.2000, 0.8002)  6 P 2.82
Ho (0.8000, 0.6002, 0.4003)  6 P 2.82
P (0.1004, 0.6991, 0.7995)  5 Ho 2.82, 1 Y 2.83
P (0.3009, 0.1004, 0.4013)  5 Ho 2.82, 1 Y 2.83
P (0.5000, 0.5000, 0.0000)  2 Y 2.82, 4 Ho 2.82
P (0.6991, 0.8996, 0.5987)  5 Ho 2.82, 1 Y 2.83
P (0.8996, 0.3009, 0.2005)  5 Ho 2.82, 1 Y 2.83

[8]
DFT (PBE) results for a relaxed structure of IrCCl2.

Properties
* space group: R-3m, No. 166
* total magnetic moment: 0.0 μB per cell
* energy: -15.21 eV per cell

Unit cell a=7.7998 b=7.7998 c=7.7998 alpha=22.64 beta=22.64 gamma=22.64
With the nearest neighbours (Å) after each atom.
Fractional positions:
Ir (0.0000, 0.0000, 0.0000)  2 Cl 2.27
C (0.5000, 0.5000, 0.5000)  6 Cl 2.33
Cl (0.0998, 0.0998, 0.0998)  1 Ir 2.27, 3 C 2.33
Cl (0.9002, 0.9002, 0.9002)  1 Ir 2.27, 3 C 2.33

[9]
DFT (PBE) results for a relaxed structure of MnAlTl2.

Properties
* space group: Cm, No. 8
* formation energy: 0.35 eV/atom
* total magnetic moment: 3.3 μB per cell
* energy: -16.23 eV per cell

Unit cell a=6.6457 b=6.6457 c=4.9073 alpha=111.52 beta=111.52 gamma=26.61
With the nearest neighbours (Å) after each atom.
Fractional positions:
Mn (0.0000, 0.0000, 0.0000)  2 Al 2.61, 4 Tl 2.90
Al (0.3235, 0.3235, 0.8210)  2 Mn 2.61
Tl (0.5176, 0.5176, 0.5173)  4 Mn 2.90, 2 Tl 3.06
Tl (0.7240, 0.7240, 0.2225)  2 Tl 3.06, 2 Mn 3.09, 4 Al 3.13

[10]
DFT (PBE) results for a relaxed structure of LiGd2Dy.

Properties
* space group: Fm-3m, No. 225
* formation energy: 0.17 eV/atom
* total magnetic moment: 14.5 μB per cell
* energy: -33.99 eV per cell

Unit cell a=5.5070 b=5.5070 c=5.5070 alpha=60.00 beta=60.00 gamma=60.00
With the nearest neighbours (Å) after each atom.
Fractional positions:
Li (0.0000, 0.0000, 0.0000)  8 Gd 3.37
Gd (0.2500, 0.2500, 0.2500)  4 Dy 3.37, 4 Li 3.37
Gd (0.7500, 0.7500, 0.7500)  4 Li 3.37, 4 Dy 3.37
Dy (0.5000, 0.5000, 0.5000)  8 Gd 3.37

[11]
DFT (PBE) results for a relaxed structure of Ho5Sn2Ir2.

Properties
* space group: Cmce, No. 64
* formation energy: -0.74 eV/atom
* total magnetic moment: 0.0 μB per cell
* energy: -110.50 eV per cell

Unit cell a=8.7626 b=8.7626 c=7.2178 alpha=90.00 beta=90.00 gamma=56.29
With the nearest neighbours (Å) after each atom.
Fractional positions:
Ho (0.0000, 0.0000, 0.0000)  2 Ir 2.84
Ho (0.0579, 0.7021, 0.6545)  3 Ir 2.82-3.14
Ho (0.2021, 0.5579, 0.1545)  3 Ir 2.82-3.14
Ho (0.2979, 0.9421, 0.6545)  3 Ir 2.82-3.14
Ho (0.4421, 0.7979, 0.1545)  3 Ir 2.82-3.14
Ho (0.5000, 0.5000, 0.5000)  2 Ir 2.84
Ho (0.5579, 0.2021, 0.8455)  3 Ir 2.82-3.14
Ho (0.7021, 0.0579, 0.3455)  3 Ir 2.82-3.14
Ho (0.7979, 0.4421, 0.8455)  3 Ir 2.82-3.14
Ho (0.9421, 0.2979, 0.3455)  3 Ir 2.82-3.14
Sn (0.2134, 0.2134, 0.0000)  7 Ho 3.17-3.30
Sn (0.2866, 0.2866, 0.5000)  7 Ho 3.17-3.30
Sn (0.7134, 0.7134, 0.5000)  7 Ho 3.17-3.30
Sn (0.7866, 0.7866, 0.0000)  7 Ho 3.17-3.30
Ir (0.1278, 0.8722, 0.3654)  7 Ho 2.82-3.14, 1 Ir 2.87
Ir (0.3722, 0.6278, 0.8654)  7 Ho 2.82-3.14, 1 Ir 2.87
Ir (0.6278, 0.3722, 0.1346)  7 Ho 2.82-3.14, 1 Ir 2.87
Ir (0.8722, 0.1278, 0.6346)  7 Ho 2.82-3.14, 1 Ir 2.87

[12]
DFT (PBE) results for a relaxed structure of AcFeSiIr6.

Properties
* space group: Imma, No. 74
* total magnetic moment: 6.8 μB per cell
* energy: -138.02 eV per cell

Unit cell a=8.1200 b=8.1200 c=8.1200 alpha=136.31 beta=109.48 gamma=86.76
With the nearest neighbours (Å) after each atom.
Fractional positions:
Ac (0.4196, 0.1696, 0.2500)  8 Ir 2.95-3.21
Ac (0.5804, 0.8304, 0.7500)  8 Ir 2.95-3.21
Fe (0.0000, 0.0000, 0.5000)  6 Ir 2.43-2.51
Fe (0.0000, 0.5000, 0.0000)  6 Ir 2.43-2.51
Si (0.0000, 0.5000, 0.5000)  6 Ir 2.29-2.52
Si (0.5000, 0.5000, 0.0000)  6 Ir 2.29-2.52
Ir (0.1123, 0.3678, 0.2077)  1 Si 2.29, 1 Fe 2.51
Ir (0.1123, 0.9045, 0.7444)  1 Si 2.29, 1 Fe 2.51
Ir (0.1613, 0.9113, 0.2500)  2 Fe 2.43, 4 Ir 2.60
Ir (0.3288, 0.5788, 0.7500)  2 Si 2.52
Ir (0.3399, 0.0955, 0.7077)  1 Si 2.29, 1 Fe 2.51
Ir (0.3399, 0.6322, 0.2444)  1 Si 2.29, 1 Fe 2.51
Ir (0.6601, 0.3678, 0.7556)  1 Si 2.29, 1 Fe 2.51
Ir (0.6601, 0.9045, 0.2923)  1 Si 2.29, 1 Fe 2.51
Ir (0.6712, 0.4212, 0.2500)  2 Si 2.52
Ir (0.8387, 0.0887, 0.7500)  2 Fe 2.43, 4 Ir 2.60
Ir (0.8877, 0.0955, 0.2556)  1 Si 2.29, 1 Fe 2.51
Ir (0.8877, 0.6322, 0.7923)  1 Si 2.29, 1 Fe 2.51